A plane-wave DFT calculation with PBE was carried out for crystalline Dy2Al2Ga at its relaxed geometry.

The space group is C2/m (No. 12) and the conventional cell measures 10.7316, 4.4396 and 10.4619 Å, with angles of 90.00, 116.46 and 90.00 degrees. The inequivalent atoms are Dy at (0.0120, 0.0000, 0.3293), Dy at (0.1818, 0.0000, 0.0972), Al at (0.0234, 0.5000, 0.8846), Al at (0.1416, 0.5000, 0.5644) and Ga at (0.2222, 0.5000, 0.3340).

The calculation puts the density of states at the Fermi level at 3.87 states/eV/f.u. For the total energy, the calculation gives -89.02 eV/cell.